Entry 1:
Here is a PBEsol-optimized structure of Ba2AsPb from Alexandria. Energies are from SCAN.

The structure in extended XYZ format:
```
4
Lattice="-3.2327 -3.2738 0.5705 2.0878 -1.2290 4.7777 -3.2403 3.5986 2.2906" Properties=species:S:1:pos:R:3 pbc="T T T"
As -1.6163 -1.6369 0.2852
Ba 1.0439 -0.6145 2.3889
Ba -1.6201 1.7993 1.1453
Pb -2.1926 -0.4521 3.8194
```

- ρ: 6.95 Mg/m³
- DOS(E_F): 2.19 states/eV/cell
- Formation enthalpy at 0 K: -0.787 eV per atom
- Energy above the lowest structure with this stoichiometry: 0 meV per atom

Entry 2:
Here is a PBEsol-optimized structure of Ba2As2Pb from Alexandria. Energies are from SCAN.

The structure in extended XYZ format:
```
10
Lattice="4.8109 0.0000 0.0000 0.0000 7.9779 0.0000 0.0000 0.0000 7.9779" Properties=species:S:1:pos:R:3 pbc="T T T"
Ba 2.4055 6.5339 2.5450
Ba 2.4055 2.5450 1.4439
Ba 2.4055 1.4439 5.4329
Ba 2.4055 5.4329 6.5339
As 0.0000 3.0968 7.0858
As 0.0000 0.8921 3.0968
As 0.0000 7.0858 4.8811
As 0.0000 4.8811 0.8921
Pb 0.0000 3.9889 3.9889
Pb 0.0000 0.0000 0.0000
```

- ρ: 6.85 Mg/m³
- DOS(E_F): 4.40 states/eV/cell
- Formation enthalpy at 0 K: -0.949 eV per atom
- Energy above the lowest structure with this stoichiometry: 0 meV per atom

Entry 3:
Here is a PBEsol-optimized structure of Ba4AsPb from Alexandria. Energies are from SCAN.

The structure in extended XYZ format:
```
6
Lattice="-4.1602 -5.4254 0.4158 0.5294 -5.0794 -4.5644 2.4891 -6.0850 1.9212" Properties=species:S:1:pos:R:3 pbc="T T T"
Ba -0.4271 -6.2065 -0.8333
Ba -0.1605 -8.7642 -3.1316
Ba -2.5219 -8.9384 -0.6239
Ba 0.8263 -9.2706 0.1341
Pb -0.8562 -12.4424 -1.6705
As 0.0000 0.0000 0.0000
```

- ρ: 6.08 Mg/m³
- DOS(E_F): 5.50 states/eV/cell
- Formation enthalpy at 0 K: 0.111 eV per atom

Entry 4:
Here is a PBEsol-optimized structure of BaAsPb2 from Alexandria. Energies are from SCAN.

The structure in extended XYZ format:
```
4
Lattice="4.1149 0.0000 0.0000 0.0000 5.0395 0.0000 0.0000 -2.5197 6.0962" Properties=species:S:1:pos:R:3 pbc="T T T"
Ba 2.0574 2.5197 2.8937
Pb 2.0574 0.0000 5.5431
Pb 0.0000 0.0000 0.5129
As 0.0000 0.0000 3.4124
```

- ρ: 8.23 Mg/m³
- DOS(E_F): 1.29 states/eV/cell
- Formation enthalpy at 0 K: -0.568 eV per atom